No. 1
DFT (GGA-PBE) results for a relaxed structure of HfBiSe2.

```
HfBiSe2
1.0
7.019 0.000 0.000
0.000 7.019 0.000
3.509 3.509 5.273
Se Hf Bi
4 2 2
Direct
0.190 0.625 0.250 Se
0.375 0.440 0.750 Se
0.560 0.125 0.250 Se
0.875 0.810 0.750 Se
0.500 0.500 0.000 Hf
0.250 0.750 0.500 Hf
0.750 0.250 0.500 Bi
0.000 0.000 0.000 Bi
```

Properties
Space group: I-42d (122)
Calculated volume in Å³/cell: 259.7
Size of the total moment in μB/cell: 0.00
ΔE_f (raw) in eV/f.u.: -0.9

***

No. 2
DFT (GGA-PBE) results for a relaxed structure of Hf4BiSe.

```
Hf4BiSe
1.0
5.088 0.000 0.000
0.000 5.871 0.000
-2.544 0.000 9.408
Bi Hf Se
2 8 2
Direct
0.146 0.303 0.291 Bi
0.854 0.803 0.709 Bi
0.292 0.568 0.585 Hf
0.297 0.078 0.595 Hf
0.126 0.798 0.253 Hf
0.703 0.578 0.405 Hf
0.708 0.068 0.415 Hf
0.874 0.298 0.747 Hf
0.560 0.344 0.120 Hf
0.440 0.844 0.880 Hf
0.579 0.843 0.159 Se
0.421 0.343 0.841 Se
```

Properties
Space group: Cmc2_1 (36)
Calculated volume in Å³/cell: 281.0
Size of the total moment in μB/cell: 0.00
ΔE_f (raw) in eV/f.u.: -0.7

***

No. 3
DFT (GGA-PBE) results for a relaxed structure of HfTaBiSe2.

```
HfTaBiSe2
1.0
4.884 0.000 0.000
0.000 5.658 0.000
0.000 0.000 4.884
Se Hf Ta Bi
2 1 1 1
Direct
0.500 0.000 0.000 Se
0.000 0.000 0.500 Se
0.000 0.500 0.000 Hf
0.000 0.000 0.000 Ta
0.500 0.500 0.500 Bi
```

Properties
Space group: P4/mmm (123)
Calculated volume in Å³/cell: 134.9
Size of the total moment in μB/cell: 0.00
ΔE_f (raw) in eV/f.u.: 1.4

***

No. 4
DFT (GGA-PBE) results for a relaxed structure of Hf2TaBiSe.

```
Hf2TaBiSe
1.0
-2.043 -1.245 -4.836
4.707 0.186 -2.036
0.670 -5.246 1.067
Hf Ta Bi Se
2 1 1 1
Direct
0.500 0.000 0.000 Hf
0.000 0.000 0.500 Hf
0.000 0.500 0.000 Ta
0.000 0.000 0.000 Bi
0.500 0.500 0.500 Se
```

Properties
Space group: P4/mmm (123)
Calculated volume in Å³/cell: 149.4
Size of the total moment in μB/cell: 0.00
ΔE_f (raw) in eV/f.u.: 8.8

***

No. 5
DFT (GGA-PBE) results for a relaxed structure of Hf2TcBiSe.

```
Hf2TcBiSe
1.0
-2.743 4.240 -0.211
0.040 -0.228 -5.101
-4.245 -2.742 0.089
Hf Bi Tc Se
2 1 1 1
Direct
0.500 0.000 0.000 Hf
0.000 0.000 0.500 Hf
0.000 0.500 0.000 Bi
0.000 0.000 0.000 Tc
0.500 0.500 0.500 Se
```

Properties
Space group: P4/mmm (123)
Calculated volume in Å³/cell: 130.4
Size of the total moment in μB/cell: 0.00
ΔE_f (raw) in eV/f.u.: 1.9

***

No. 6
DFT (GGA-PBE) results for a relaxed structure of HfTl3Bi3Se8.

```
HfTl3Bi3Se8
1.0
8.389 0.000 0.000
-4.195 7.265 -0.029
0.000 -4.812 7.812
Se Tl Bi Hf
8 3 3 1
Direct
0.739 0.478 0.718 Se
0.241 0.020 0.299 Se
0.779 0.559 0.299 Se
0.779 0.020 0.299 Se
0.261 0.522 0.282 Se
0.221 0.441 0.701 Se
0.759 0.980 0.701 Se
0.221 0.980 0.701 Se
0.500 0.500 0.000 Tl
0.000 0.500 0.000 Tl
0.000 0.000 0.000 Tl
0.000 0.500 0.500 Bi
0.500 0.000 0.500 Bi
0.500 0.500 0.500 Bi
0.000 0.000 0.500 Hf
```

Properties
Space group: R-3m (166)
Calculated volume in Å³/cell: 474.9
Size of the total moment in μB/cell: 0.00
ΔE_f (raw) in eV/f.u.: -9.4

***

Number 1 is which compound?
HfBiSe2